# PBE-GGA Ac2GaI, relaxed
data_Ac2GaI
_cell_length_a 4.7227
_cell_length_b 4.7227
_cell_length_c 23.7245
_cell_angle_alpha 90.00
_cell_angle_beta 90.00
_cell_angle_gamma 120.00
_space_group_name_H-M_alt 'R -3 m'
_space_group_IT_number 166
_space_group_name_Hall '-R 3 2"'
loop_
_atom_site_label
_atom_site_type_symbol
_atom_site_fract_x
_atom_site_fract_y
_atom_site_fract_z
Ac1 Ac 0.0000 0.0000 0.2364
Ga1 Ga 0.0000 0.0000 0.5000
I1 I 0.0000 0.0000 0.0000
# Energy, eV per atom: -3.95
# Polymorph energy (0 for the lowest one), meV/atom: 3
# E_form (uncorrected), eV/atom: -0.75
# Crystal system: trigonal